Ce2Mg2Ge4Ir after structural relaxation. Source: Alexandria, functional PBE.

Geometry as CIF:
```
data_Ce2Mg2Ge4Ir
_symmetry_space_group_name_H-M 'I 4/m m m'
_symmetry_Int_Tables_number 139
_symmetry_space_group_name_Hall '-I 4 2'
_cell_length_a 6.533
_cell_length_b 6.533
_cell_length_c 8.663
_cell_angle_alpha 90.00
_cell_angle_beta 90.00
_cell_angle_gamma 90.00
loop_
_atom_site_label
_atom_site_fract_x
_atom_site_fract_y
_atom_site_fract_z
Ce1 0.000 0.500 0.250
Mg1 0.000 0.000 0.205
Ge1 0.231 0.231 0.000
Ir1 0.000 0.000 0.500
```

Results
Magnetic moment in μB per formula unit: 1.2
Mass density in g/cm³: 7.29
Crystal system: tetragonal
DFT formation energy in eV/atom: -0.506

---

CaEu3Cu after structural relaxation. Source: Alexandria, functional PBE.

Geometry as CIF:
```
data_CaEu3Cu
_symmetry_space_group_name_H-M 'P m -3 m'
_symmetry_Int_Tables_number 221
_symmetry_space_group_name_Hall '-P 4 2 3'
_cell_length_a 5.832
_cell_length_b 5.832
_cell_length_c 5.832
_cell_angle_alpha 90.00
_cell_angle_beta 90.00
_cell_angle_gamma 90.00
loop_
_atom_site_label
_atom_site_fract_x
_atom_site_fract_y
_atom_site_fract_z
Ca1 0.000 0.000 0.000
Eu1 0.000 0.500 0.500
Cu1 0.500 0.500 0.500
```

Results
Magnetic moment in μB per formula unit: 21.9
Mass density in g/cm³: 4.68
Crystal system: cubic
DFT formation energy in eV/atom: 0.016

---

NbAgSb2O8 after structural relaxation. Source: Alexandria, functional PBE.

Geometry as CIF:
```
data_NbAgSb2O8
_symmetry_space_group_name_H-M 'C m m m'
_symmetry_Int_Tables_number 65
_symmetry_space_group_name_Hall '-C 2 2'
_cell_length_a 6.846
_cell_length_b 7.062
_cell_length_c 6.420
_cell_angle_alpha 90.00
_cell_angle_beta 90.00
_cell_angle_gamma 90.00
loop_
_atom_site_label
_atom_site_fract_x
_atom_site_fract_y
_atom_site_fract_z
Nb1 0.000 0.000 0.000
Ag1 0.000 0.000 0.500
Sb1 0.000 0.500 0.251
O1 0.000 0.304 0.000
O2 0.000 0.321 0.500
O3 0.210 0.000 0.212
```

Results
Formation energy without anion corrections in meV per atom: -1449
Magnetic moment in μB per formula unit: 0.0
Mass density in g/cm³: 6.12
Crystal system: orthorhombic

---

In2CuAg8 after structural relaxation. Source: Alexandria, functional PBE.

Geometry as CIF:
```
data_In2CuAg8
_symmetry_space_group_name_H-M 'C 1 2/m 1'
_symmetry_Int_Tables_number 12
_symmetry_space_group_name_Hall '-C 2y'
_cell_length_a 14.687
_cell_length_b 4.337
_cell_length_c 6.731
_cell_angle_alpha 90.00
_cell_angle_beta 108.93
_cell_angle_gamma 90.00
loop_
_atom_site_label
_atom_site_fract_x
_atom_site_fract_y
_atom_site_fract_z
In1 0.224 0.000 0.146
Cu1 0.000 0.500 0.500
Ag1 0.043 0.000 0.230
Ag2 0.087 0.500 0.938
Ag3 0.131 0.000 0.672
Ag4 0.175 0.500 0.409
```

Results
Magnetic moment in μB per formula unit: 0.0
Mass density in g/cm³: 9.47
Crystal system: monoclinic
DFT formation energy in eV/atom: 0.026